# 1
The following is a PBE calculation of a relaxed structure of AcBe2Ir2, from Alexandria.

abc: 5.7575 9.9880 6.7807
angles: 90.00 115.10 90.00
With the nearest neighbours (Å) after each atom.
Space group C2/c (No. 15)
Symmetry-distinct sites (fractional):
Ac (0.0000, 0.1247, 0.2500) x4  8 Ir 3.25-3.28, 10 Be 3.26-3.48
Be (0.0000, 0.2015, 0.7500) x4  4 Ir 2.25-2.30
Be (0.0000, 0.4513, 0.2500) x4  4 Ir 2.25-2.30
Ir (0.1237, 0.3750, 0.9969) x8  4 Be 2.25-2.30

Calculated values
Total moment   0.0 Bohr magnetons per cell
Energy of formation from the pure elements   -589 meV/atom

# 2
The following is a PBE calculation of a relaxed structure of LiMg4Pd7, from Alexandria.

abc: 12.2510 4.5098 9.2818
angles: 90.00 126.75 90.00
With the nearest neighbours (Å) after each atom.
Space group C2/m (No. 12)
Symmetry-distinct sites (fractional):
Li (0.0000, 0.0000, 0.0000) x2  4 Pd 2.25-2.52
Mg (0.0789, 0.5000, 0.7868) x4  8 Pd 2.58-2.71
Mg (0.2156, 0.5000, 0.3425) x4  8 Pd 2.59-2.78
Pd (0.0000, 0.5000, 0.0000) x2  2 Li 2.25
Pd (0.0723, 0.0000, 0.3176) x4  1 Li 2.52, 5 Mg 2.63-2.78
Pd (0.1404, 0.5000, 0.5646) x4  5 Mg 2.58-2.72, 1 Pd 2.89
Pd (0.2160, 0.0000, 0.8726) x4  4 Mg 2.59-2.63, 1 Pd 2.85

Calculated values
Total moment   0.0 Bohr magnetons per cell
Energy of formation from the pure elements   -374 meV/atom

# 3
The following is a PBE calculation of a relaxed structure of La2CoNi3Pt12, from Alexandria.

abc: 7.9015 7.9015 19.8942
angles: 90.00 90.00 120.00
With the nearest neighbours (Å) after each atom.
Space group R-3m (No. 166, hexagonal axes)
Symmetry-distinct sites (fractional):
La (0.0000, 0.0000, 0.1269) x6  6 Pt 2.84-2.85
Co (0.0000, 0.0000, 0.5000) x3  6 Pt 2.42
Ni (0.0000, 0.5000, 0.0000) x9  6 Pt 2.43-2.44
Pt (0.0014, 0.5007, 0.6256) x18  2 Ni 2.43
Pt (0.0039, 0.5019, 0.1224) x18  1 Co 2.42, 1 Ni 2.44

Calculated values
Total moment   22.1 Bohr magnetons per cell
Energy of formation from the pure elements   -3 meV/atom

# 4
The following is a PBE calculation of a relaxed structure of Cs2TiAgBr6, from Alexandria.

abc: 7.7929 7.7929 11.0130
angles: 90.00 90.00 90.00
With the nearest neighbours (Å) after each atom.
Space group I4/mmm (No. 139)
Symmetry-distinct sites (fractional):
Cs (0.0000, 0.5000, 0.2500) x4  12 Br 3.90
Ti (0.0000, 0.0000, 0.0000) x2  6 Br 2.61-2.62
Ag (0.0000, 0.0000, 0.5000) x2  6 Br 2.89-2.90
Br (0.0000, 0.0000, 0.2375) x4  1 Ti 2.62, 1 Ag 2.89
Br (0.2372, 0.2372, 0.0000) x8  1 Ti 2.61, 1 Ag 2.90

Calculated values
Total moment   2.0 Bohr magnetons per cell
E_form (uncorrected)   -1270 meV/atom
Distance to the lowest polymorph of the same formula   0.014 eV per atom

# 5
The following is a PBE calculation of a relaxed structure of TiIr2RuS, from Alexandria.

abc: 4.7437 4.7437 4.3618
angles: 90.00 90.00 90.00
With the nearest neighbours (Å) after each atom.
Space group P4/mmm (No. 123)
Symmetry-distinct sites (fractional):
Ti (0.0000, 0.0000, 0.0000) x1  8 Ir 3.22, 4 S 3.35
Ir (0.0000, 0.5000, 0.5000) x2  2 Ru 2.37
Ru (0.5000, 0.5000, 0.5000) x1  2 S 2.18, 4 Ir 2.37
S (0.5000, 0.5000, 0.0000) x1  2 Ru 2.18

Calculated values
Total moment   0.0 Bohr magnetons per cell
E_form (uncorrected)   1172 meV/atom

# 6
The following is a PBE calculation of a relaxed structure of In3CoP, from Alexandria.

abc: 5.1742 5.1742 5.1742
angles: 90.00 90.00 90.00
With the nearest neighbours (Å) after each atom.
Space group Pm-3m (No. 221)
Symmetry-distinct sites (fractional):
In (0.0000, 0.0000, 0.5000) x3  2 P 2.59
Co (0.5000, 0.5000, 0.5000) x1  12 In 3.66
P (0.0000, 0.0000, 0.0000) x1  6 In 2.59

Calculated values
Total moment   1.9 Bohr magnetons per cell
Distance to the lowest polymorph of the same formula   0.472 eV per atom
Energy of formation from the pure elements   878 meV/atom

# 7
The following is a PBE calculation of a relaxed structure of Y3BeAu, from Alexandria.

abc: 5.1375 5.1375 5.1375
angles: 90.00 90.00 90.00
With the nearest neighbours (Å) after each atom.
Space group Pm-3m (No. 221)
Symmetry-distinct sites (fractional):
Y (0.0000, 0.0000, 0.5000) x3  2 Be 2.57
Be (0.0000, 0.0000, 0.0000) x1  6 Y 2.57
Au (0.5000, 0.5000, 0.5000) x1  12 Y 3.63

Calculated values
Total moment   0.5 Bohr magnetons per cell
Distance to the lowest polymorph of the same formula   0.000 eV per atom
Energy of formation from the pure elements   148 meV/atom

# 8
The following is a PBE calculation of a relaxed structure of Na2HgH6Rh, from Alexandria.

abc: 7.3502 7.7575 5.2576
angles: 90.00 133.95 90.00
With the nearest neighbours (Å) after each atom.
Space group C2/m (No. 12)
Symmetry-distinct sites (fractional):
Na (0.0000, 0.2492, 0.0000) x4  12 H 2.64-2.74
Hg (0.0000, 0.5000, 0.5000) x2  6 H 1.98-2.19
H (0.0000, 0.2179, 0.5000) x4  1 Rh 1.69
H (0.2225, 0.0000, 0.9469) x4  1 Rh 1.69
H (0.2256, 0.0000, 0.4902) x4  1 Rh 1.69
Rh (0.0000, 0.0000, 0.5000) x2  6 H 1.69

Calculated values
Total moment   0.0 Bohr magnetons per cell
Raw total energy   -3.195 eV per atom